Record 1
Density functional theory data (PBEsol) for a geometry-optimized BaFeTc2 structure.

The space group is Cmmm (No. 65) and the conventional cell measures 5.189, 10.060 and 2.767 Å, with angles of 90.00, 90.00 and 90.00 degrees. The distinct sites, in fractional coordinates, are Ba at (0.000, 0.000, 0.000), Fe at (0.000, 0.500, 0.000) and Tc at (0.250, 0.250, 0.500).

The excess energy over the best structure of this formula in the dataset is 47.10 kJ/mol of atoms.

---

Record 2
Density functional theory data (PBEsol) for a geometry-optimized BaFeTc structure.

The space group is P3m1 (No. 156) and the conventional cell measures 3.8486, 3.8486 and 5.2830 Å, with angles of 90.00, 90.00 and 120.00 degrees. The distinct sites, in fractional coordinates, are Ba at (0.0000, 0.0000, 0.0000), Fe at (0.3333, 0.6667, 0.5279) and Tc at (0.6667, 0.3333, 0.4826).

As for the total energy: -6.802 eV/atom.

---

Record 3
Density functional theory data (PBEsol) for a geometry-optimized BaFeTc2 structure.

The space group is P2/m (No. 10) and the conventional cell measures 3.668, 4.307 and 5.929 Å, with angles of 90.00, 104.06 and 90.00 degrees. The distinct sites, in fractional coordinates, are Ba at (0.000, 0.000, 0.000), Fe at (0.500, 0.000, 0.500) and Tc at (0.288, 0.500, 0.622).

The excess energy over the best structure of this formula in the dataset is 0.00 kJ/mol of atoms.

---

Record 4
Density functional theory data (PBEsol) for a geometry-optimized BaFe2Te structure.

The space group is P4mm (No. 99) and the conventional cell measures 3.378, 3.378 and 7.584 Å, with angles of 90.00, 90.00 and 90.00 degrees. The distinct sites, in fractional coordinates, are Ba at (0.000, 0.000, 0.000), Fe at (0.000, 0.000, 0.436), Fe at (0.500, 0.500, 0.317) and Te at (0.500, 0.500, 0.650).

The uncorrected formation energy is 0.2509 eV/atom.

---

Record 5
Density functional theory data (PBEsol) for a geometry-optimized BaFe2Te structure.

The space group is P4/mmm (No. 123) and the conventional cell measures 3.599, 3.599 and 6.863 Å, with angles of 90.00, 90.00 and 90.00 degrees. The distinct sites, in fractional coordinates, are Ba at (0.000, 0.000, 0.000), Fe at (0.500, 0.500, 0.336) and Te at (0.000, 0.000, 0.500).

The uncorrected formation energy is 0.4453 eV/atom.

---

Record 6
Density functional theory data (PBEsol) for a geometry-optimized Ba3FeTe structure.

The space group is Pm-3m (No. 221) and the conventional cell measures 5.542, 5.542 and 5.542 Å, with angles of 90.00, 90.00 and 90.00 degrees. The distinct sites, in fractional coordinates, are Ba at (0.000, 0.000, 0.500), Fe at (0.000, 0.000, 0.000) and Te at (0.500, 0.500, 0.500).

The uncorrected formation energy is -0.1996 eV/atom.

---

Record 7
Density functional theory data (PBEsol) for a geometry-optimized BaFe2Te structure.

The space group is Pmmm (No. 47) and the conventional cell measures 4.473, 4.727 and 5.057 Å, with angles of 90.00, 90.00 and 90.00 degrees. The distinct sites, in fractional coordinates, are Ba at (0.000, 0.000, 0.000), Fe at (0.500, 0.225, 0.500) and Te at (0.000, 0.500, 0.500).

The uncorrected formation energy is 0.2285 eV/atom.

---

Record 8
Density functional theory data (PBEsol) for a geometry-optimized Ba2FeTe structure.

The space group is Imm2 (No. 44) and the conventional cell measures 4.062, 5.102 and 12.028 Å, with angles of 90.00, 90.00 and 90.00 degrees. The distinct sites, in fractional coordinates, are Ba at (0.000, 0.000, 0.000), Ba at (0.000, 0.500, 0.210), Fe at (0.000, 0.500, 0.762) and Te at (0.000, 0.000, 0.408).

The uncorrected formation energy is -0.2184 eV/atom.